# 1
Fe3Se (PBE-GGA, relaxed); DFT total energy = -6.93 eV per atom; V = 52 Å³/cell; crystal system = cubic
1.0
3.743 0.000 0.000
0.000 3.743 0.000
0.000 0.000 3.743
Fe Se
3 1
direct
0.000 0.000 0.500
0.000 0.500 0.000
0.500 0.000 0.000
0.500 0.500 0.500

***

# 2
Nd2Sm2IBr4N (PBE-GGA, relaxed); DFT total energy = -5.11 eV per atom; V = 300 Å³/cell; crystal system = monoclinic
1.0
9.031 -1.955 0.000
9.031 1.955 0.000
-2.060 0.000 8.494
Nd Sm I Br N
2 2 1 4 1
direct
0.001 0.001 0.307
0.999 0.999 0.693
0.363 0.363 0.431
0.637 0.637 0.569
0.500 0.500 0.000
0.167 0.167 0.825
0.172 0.172 0.341
0.828 0.828 0.659
0.833 0.833 0.175
0.500 0.500 0.500

***

# 3
PrGdI2O2 (PBE-GGA, relaxed); DFT total energy = -6.42 eV per atom; V = 151 Å³/cell; crystal system = tetragonal
1.0
4.035 0.000 0.000
0.000 4.035 0.000
0.000 0.000 9.274
Pr Gd I O
1 1 2 2
direct
0.000 0.000 0.000
0.500 0.500 0.751
0.000 0.000 0.546
0.500 0.500 0.206
0.000 0.500 0.868
0.500 0.000 0.868

***

# 4
La2YNi9 (PBE-GGA, relaxed); E_form = -260 meV/atom; V = 183 Å³/cell; crystal system = orthorhombic
1.0
2.484 -4.476 0.000
2.484 4.476 0.000
0.000 0.000 8.242
La Y Ni
2 1 9
direct
0.000 0.000 0.214
0.000 0.000 0.786
0.500 0.500 0.500
0.000 0.500 0.000
0.000 0.500 0.500
0.308 0.692 0.244
0.308 0.692 0.756
0.500 0.000 0.000
0.500 0.000 0.500
0.500 0.500 0.000
0.692 0.308 0.244
0.692 0.308 0.756

***

# 5
Er2CoNiB2N2 (PBE-GGA, relaxed); DFT total energy = -7.60 eV per atom; V = 89 Å³/cell; crystal system = tetragonal
1.0
3.452 0.000 0.000
0.000 3.452 0.000
0.000 0.000 7.427
Er Co Ni B N
2 1 1 2 2
direct
0.000 0.500 0.167
0.500 0.000 0.833
0.000 0.000 0.500
0.500 0.500 0.500
0.000 0.500 0.656
0.500 0.000 0.344
0.000 0.500 0.856
0.500 0.000 0.144

***

# 6
ZrTlAuO3 (PBE-GGA, relaxed); DFT total energy = -6.51 eV per atom; V = 368 Å³/cell; crystal system = orthorhombic
1.0
10.721 0.000 0.000
0.000 3.280 0.000
0.000 0.000 10.471
Zr Tl Au O
4 4 4 12
direct
0.042 0.250 0.136
0.458 0.750 0.636
0.542 0.250 0.364
0.958 0.750 0.864
0.215 0.750 0.395
0.285 0.250 0.895
0.715 0.750 0.105
0.785 0.250 0.605
0.085 0.250 0.572
0.415 0.750 0.072
0.585 0.250 0.928
0.915 0.750 0.428
0.052 0.250 0.781
0.103 0.750 0.016
0.197 0.250 0.243
0.303 0.750 0.743
0.397 0.250 0.516
0.448 0.750 0.281
0.552 0.250 0.719
0.603 0.750 0.484
0.697 0.250 0.257
0.803 0.750 0.757
0.897 0.250 0.984
0.948 0.750 0.219

***

# 7
SmHoC2Br2 (PBE-GGA, relaxed); DFT total energy = -6.25 eV per atom; V = 150 Å³/cell; crystal system = monoclinic
1.0
3.563 -1.912 0.000
3.563 1.912 0.000
-0.871 0.000 11.004
Sm Ho C Br
1 1 2 2
direct
0.000 0.000 0.000
0.710 0.710 0.735
0.280 0.280 0.894
0.430 0.430 0.829
0.035 0.035 0.566
0.680 0.680 0.176

***

# 8
FeSe (PBE-GGA, relaxed); DFT total energy = -5.80 eV per atom; V = 243 Å³/cell; crystal system = orthorhombic
1.0
2.011 -3.502 0.000
2.011 3.502 0.000
0.000 0.000 17.287
Fe Se
6 6
direct
0.049 0.951 0.750
0.115 0.885 0.124
0.115 0.885 0.376
0.885 0.115 0.624
0.885 0.115 0.876
0.951 0.049 0.250
0.283 0.717 0.250
0.458 0.542 0.077
0.458 0.542 0.423
0.542 0.458 0.577
0.542 0.458 0.923
0.717 0.283 0.750

***

# 9
NbZn13 (PBE-GGA, relaxed); E_form = -3 meV/atom; V = 219 Å³/cell; crystal system = monoclinic
1.0
5.385 -3.848 0.000
5.385 3.848 0.000
-0.960 0.000 5.292
Nb Zn
1 13
direct
0.000 0.000 0.000
0.000 0.000 0.500
0.009 0.639 0.689
0.226 0.619 0.178
0.229 0.229 0.862
0.361 0.991 0.311
0.381 0.774 0.822
0.383 0.383 0.547
0.617 0.617 0.453
0.619 0.226 0.178
0.639 0.009 0.689
0.771 0.771 0.138
0.774 0.381 0.822
0.991 0.361 0.311

***

# 10
LiGeAu2 (PBE-GGA, relaxed); DFT total energy = -3.54 eV per atom; V = 295 Å³/cell; crystal system = orthorhombic
1.0
7.048 0.000 0.000
0.000 7.355 0.000
0.000 0.000 5.687
Li Ge Au
4 4 8
direct
0.025 0.250 0.156
0.475 0.750 0.656
0.525 0.250 0.344
0.975 0.750 0.844
0.116 0.750 0.370
0.384 0.250 0.870
0.616 0.750 0.130
0.884 0.250 0.630
0.212 0.049 0.563
0.212 0.451 0.563
0.288 0.549 0.063
0.288 0.951 0.063
0.712 0.049 0.937
0.712 0.451 0.937
0.788 0.549 0.437
0.788 0.951 0.437

***

# 11
ErAgPbSeS2 (PBE-GGA, relaxed); DFT total energy = -4.79 eV per atom; V = 289 Å³/cell; crystal system = orthorhombic
1.0
2.009 -6.730 0.000
2.009 6.730 0.000
0.000 0.000 10.672
Er Ag Pb Se S
2 2 2 2 4
direct
0.000 0.000 0.000
0.000 0.000 0.500
0.466 0.534 0.750
0.534 0.466 0.250
0.233 0.767 0.250
0.767 0.233 0.750
0.097 0.903 0.750
0.903 0.097 0.250
0.366 0.634 0.554
0.366 0.634 0.946
0.634 0.366 0.054
0.634 0.366 0.446

***

# 12
ErAsAuO (PBE-GGA, relaxed); DFT total energy = -5.76 eV per atom; V = 145 Å³/cell; crystal system = orthorhombic
1.0
5.620 0.000 0.000
0.000 4.237 0.000
0.000 0.000 6.101
Er As Au O
2 2 2 2
direct
0.000 0.220 0.000
0.000 0.780 0.500
0.500 0.006 0.637
0.500 0.994 0.137
0.500 0.497 0.390
0.500 0.503 0.890
0.000 0.306 0.346
0.000 0.694 0.846

***

Question: Number 11 is which compound?
Answer: ErAgPbSeS2

***

Repeat the eighth record exactly.
FeSe (PBE-GGA, relaxed); DFT total energy = -5.80 eV per atom; V = 243 Å³/cell; crystal system = orthorhombic
1.0
2.011 -3.502 0.000
2.011 3.502 0.000
0.000 0.000 17.287
Fe Se
6 6
direct
0.049 0.951 0.750
0.115 0.885 0.124
0.115 0.885 0.376
0.885 0.115 0.624
0.885 0.115 0.876
0.951 0.049 0.250
0.283 0.717 0.250
0.458 0.542 0.077
0.458 0.542 0.423
0.542 0.458 0.577
0.542 0.458 0.923
0.717 0.283 0.750

***

Please write out number 11 again, unchanged.
ErAgPbSeS2 (PBE-GGA, relaxed); DFT total energy = -4.79 eV per atom; V = 289 Å³/cell; crystal system = orthorhombic
1.0
2.009 -6.730 0.000
2.009 6.730 0.000
0.000 0.000 10.672
Er Ag Pb Se S
2 2 2 2 4
direct
0.000 0.000 0.000
0.000 0.000 0.500
0.466 0.534 0.750
0.534 0.466 0.250
0.233 0.767 0.250
0.767 0.233 0.750
0.097 0.903 0.750
0.903 0.097 0.250
0.366 0.634 0.554
0.366 0.634 0.946
0.634 0.366 0.054
0.634 0.366 0.446